No. 1
Material: Hf2SnAs2
Method: DFT, GGA-PBE
State: optimized geometry

Geometry as CIF:
```
data_Hf2SnAs2
_cell_length_a 7.683
_cell_length_b 7.683
_cell_length_c 3.466
_cell_angle_alpha 90.00
_cell_angle_beta 90.00
_cell_angle_gamma 90.00
_space_group_name_H-M_alt 'P 4/m b m'
_space_group_IT_number 127
_space_group_name_Hall '-P 4 2ab'
loop_
_atom_site_label
_atom_site_fract_x
_atom_site_fract_y
_atom_site_fract_z
Hf1 0.148 0.352 0.000
Sn1 0.000 0.000 0.500
As1 0.142 0.642 0.500
```

## Properties
excess energy over the best structure of this formula in the dataset: 115 meV/atom
M_tot: 0.00 μB/f.u.
crystal system: tetragonal
calculated formation energy: -443 meV/atom


No. 2
Material: PaP2N6
Method: DFT, GGA-PBE
State: optimized geometry

Geometry as CIF:
```
data_PaP2N6
_cell_length_a 14.472
_cell_length_b 5.381
_cell_length_c 5.614
_cell_angle_alpha 90.00
_cell_angle_beta 90.13
_cell_angle_gamma 90.00
_space_group_name_H-M_alt 'C 1 2/c 1'
_space_group_IT_number 15
loop_
_space_group_symop_operation_xyz
'x,y,z'
'-x,-y,-z'
'-x,y,-z+1/2'
'x,-y,z+1/2'
'x+1/2,y+1/2,z'
'-x+1/2,-y+1/2,-z'
'-x+1/2,y+1/2,-z+1/2'
'x+1/2,-y+1/2,z+1/2'
loop_
_atom_site_label
_atom_site_fract_x
_atom_site_fract_y
_atom_site_fract_z
Pa1 0.000 0.200 0.250
P1 0.198 0.018 0.251
N1 0.033 0.449 0.939
N2 0.126 0.014 0.503
N3 0.228 0.303 0.243
```

## Properties
excess energy over the best structure of this formula in the dataset: 0 meV/atom
M_tot: 0.18 μB/f.u.
energy relative to the elements, uncorrected: -2.5 eV/f.u.
crystal system: monoclinic


No. 3
Material: Si2AgCl
Method: DFT, GGA-PBE
State: optimized geometry

Geometry as CIF:
```
data_Si2AgCl
_cell_length_a 5.740
_cell_length_b 5.740
_cell_length_c 12.319
_cell_angle_alpha 90.00
_cell_angle_beta 90.00
_cell_angle_gamma 90.00
_space_group_name_H-M_alt 'I -4 2 d'
_space_group_IT_number 122
_space_group_name_Hall 'I -4 2bw'
loop_
_atom_site_label
_atom_site_fract_x
_atom_site_fract_y
_atom_site_fract_z
Si1 0.204 0.250 0.125
Ag1 0.000 0.000 0.000
Cl1 0.000 0.000 0.500
```

## Properties
excess energy over the best structure of this formula in the dataset: 579 meV/atom
M_tot: 0.00 μB/f.u.
energy relative to the elements, uncorrected: 2.4 eV/f.u.
crystal system: tetragonal


No. 4
Material: Nd3DyZn4
Method: DFT, GGA-PBE
State: optimized geometry

Geometry as CIF:
```
data_Nd3DyZn4
_cell_length_a 5.1594
_cell_length_b 5.1594
_cell_length_c 25.4179
_cell_angle_alpha 90.00
_cell_angle_beta 90.00
_cell_angle_gamma 120.00
_space_group_name_H-M_alt 'R -3 m'
_space_group_IT_number 166
_space_group_name_Hall '-R 3 2"'
loop_
_atom_site_label
_atom_site_fract_x
_atom_site_fract_y
_atom_site_fract_z
Nd1 0.0000 0.0000 0.0000
Nd2 0.0000 0.0000 0.2487
Dy1 0.0000 0.0000 0.5000
Zn1 0.0000 0.0000 0.1265
Zn2 0.0000 0.0000 0.3767
```

## Properties
M_tot: 0.00 μB/f.u.
crystal system: trigonal
calculated formation energy: -314 meV/atom


No. 5
Material: SnHg12F7
Method: DFT, GGA-PBE
State: optimized geometry

Geometry as CIF:
```
data_SnHg12F7
_cell_length_a 4.199
_cell_length_b 10.732
_cell_length_c 11.985
_cell_angle_alpha 77.65
_cell_angle_beta 80.45
_cell_angle_gamma 79.95
_space_group_name_H-M_alt 'P 1'
_space_group_IT_number 1
loop_
_space_group_symop_operation_xyz
'x,y,z'
loop_
_atom_site_label
_atom_site_fract_x
_atom_site_fract_y
_atom_site_fract_z
Sn1 0.000 0.000 0.000
Hg1 0.036 0.363 0.355
Hg2 0.065 0.318 0.692
Hg3 0.137 0.992 0.426
Hg4 0.192 0.692 0.725
Hg5 0.209 0.372 0.092
Hg6 0.231 0.567 0.525
Hg7 0.465 0.408 0.840
Hg8 0.595 0.906 0.672
Hg9 0.603 0.599 0.294
Hg10 0.620 0.629 0.063
Hg11 0.695 0.179 0.580
Hg12 0.769 0.805 0.383
F1 0.062 0.047 0.830
F2 0.085 0.815 0.989
F3 0.434 0.180 0.394
F4 0.502 0.997 0.999
F5 0.704 0.620 0.877
F6 0.907 0.184 0.009
F7 0.951 0.951 0.169
```

## Properties
M_tot: 0.00 μB/f.u.
energy relative to the elements, uncorrected: -19.2 eV/f.u.
crystal system: triclinic


No. 6
Material: CuTc2Ni
Method: DFT, GGA-PBE
State: optimized geometry

Geometry as CIF:
```
data_CuTc2Ni
_cell_length_a 2.652
_cell_length_b 2.652
_cell_length_c 7.430
_cell_angle_alpha 90.00
_cell_angle_beta 90.00
_cell_angle_gamma 90.00
_space_group_name_H-M_alt 'P 4 m m'
_space_group_IT_number 99
loop_
_space_group_symop_operation_xyz
'x,y,z'
'-y,x,z'
'-x,-y,z'
'y,-x,z'
'-x,y,z'
'y,x,z'
'x,-y,z'
'-y,-x,z'
loop_
_atom_site_label
_atom_site_fract_x
_atom_site_fract_y
_atom_site_fract_z
Cu1 0.000 0.000 0.000
Tc1 0.000 0.000 0.470
Tc2 0.500 0.500 0.740
Ni1 0.500 0.500 0.229
```

## Properties
excess energy over the best structure of this formula in the dataset: 15 meV/atom
M_tot: 0.00 μB/f.u.
crystal system: tetragonal
calculated formation energy: 115 meV/atom


No. 7
Material: NaCdSnSb
Method: DFT, GGA-PBE
State: optimized geometry

Geometry as CIF:
```
data_NaCdSnSb
_cell_length_a 5.629
_cell_length_b 5.629
_cell_length_c 6.951
_cell_angle_alpha 90.00
_cell_angle_beta 90.07
_cell_angle_gamma 90.00
_space_group_name_H-M_alt 'C 1 m 1'
_space_group_IT_number 8
loop_
_space_group_symop_operation_xyz
'x,y,z'
'x,-y,z'
'x+1/2,y+1/2,z'
'x+1/2,-y+1/2,z'
loop_
_atom_site_label
_atom_site_fract_x
_atom_site_fract_y
_atom_site_fract_z
Na1 0.000 0.000 0.000
Cd1 0.001 0.000 0.487
Sn1 0.001 0.500 0.705
Sb1 0.001 0.500 0.285
```

## Properties
excess energy over the best structure of this formula in the dataset: 0 meV/atom
M_tot: 0.00 μB/f.u.
energy relative to the elements, uncorrected: -0.3 eV/f.u.
crystal system: monoclinic


No. 8
Material: RbSi3Ir
Method: DFT, GGA-PBE
State: optimized geometry

Geometry as CIF:
```
data_RbSi3Ir
_cell_length_a 4.843
_cell_length_b 4.843
_cell_length_c 4.843
_cell_angle_alpha 90.00
_cell_angle_beta 90.00
_cell_angle_gamma 90.00
_space_group_name_H-M_alt 'P m -3 m'
_space_group_IT_number 221
_space_group_name_Hall '-P 4 2 3'
loop_
_atom_site_label
_atom_site_fract_x
_atom_site_fract_y
_atom_site_fract_z
Rb1 0.000 0.000 0.000
Si1 0.000 0.500 0.500
Ir1 0.500 0.500 0.500
```

## Properties
excess energy over the best structure of this formula in the dataset: 0 meV/atom
M_tot: 1.73 μB/f.u.
energy relative to the elements, uncorrected: 2.5 eV/f.u.
crystal system: cubic


No. 9
Material: Re2BH
Method: DFT, GGA-PBE
State: optimized geometry

Geometry as CIF:
```
data_Re2BH
_cell_length_a 5.426
_cell_length_b 5.426
_cell_length_c 5.426
_cell_angle_alpha 90.00
_cell_angle_beta 90.00
_cell_angle_gamma 90.00
_space_group_name_H-M_alt 'F m -3 m'
_space_group_IT_number 225
_space_group_name_Hall '-F 4 2 3'
loop_
_atom_site_label
_atom_site_fract_x
_atom_site_fract_y
_atom_site_fract_z
Re1 0.250 0.250 0.250
B1 0.000 0.000 0.000
H1 0.000 0.000 0.500
```

## Properties
excess energy over the best structure of this formula in the dataset: 0 meV/atom
M_tot: 0.00 μB/f.u.
crystal system: cubic


No. 10
Material: TaCr2Br
Method: DFT, GGA-PBE
State: optimized geometry

Geometry as CIF:
```
data_TaCr2Br
_cell_length_a 4.409
_cell_length_b 4.409
_cell_length_c 3.124
_cell_angle_alpha 90.00
_cell_angle_beta 90.00
_cell_angle_gamma 90.00
_space_group_name_H-M_alt 'P 4/m m m'
_space_group_IT_number 123
_space_group_name_Hall '-P 4 2'
loop_
_atom_site_label
_atom_site_fract_x
_atom_site_fract_y
_atom_site_fract_z
Ta1 0.000 0.000 0.000
Cr1 0.000 0.500 0.500
Br1 0.500 0.500 0.000
```

## Properties
excess energy over the best structure of this formula in the dataset: 464 meV/atom
M_tot: 2.05 μB/f.u.
energy relative to the elements, uncorrected: 3.1 eV/f.u.
crystal system: tetragonal


No. 11
Material: MnSnBRu2
Method: DFT, GGA-PBE
State: optimized geometry

Geometry as CIF:
```
data_MnSnBRu2
_cell_length_a 4.172
_cell_length_b 4.172
_cell_length_c 3.962
_cell_angle_alpha 90.00
_cell_angle_beta 90.00
_cell_angle_gamma 90.00
_space_group_name_H-M_alt 'P 4/m m m'
_space_group_IT_number 123
_space_group_name_Hall '-P 4 2'
loop_
_atom_site_label
_atom_site_fract_x
_atom_site_fract_y
_atom_site_fract_z
Mn1 0.000 0.000 0.000
Sn1 0.500 0.500 0.000
B1 0.000 0.000 0.500
Ru1 0.000 0.500 0.500
```

## Properties
M_tot: 2.59 μB/f.u.
crystal system: tetragonal
calculated formation energy: -91 meV/atom


No. 12
Material: Er2TmPt
Method: DFT, GGA-PBE
State: optimized geometry

Geometry as CIF:
```
data_Er2TmPt
_cell_length_a 3.541
_cell_length_b 3.541
_cell_length_c 8.239
_cell_angle_alpha 90.00
_cell_angle_beta 90.00
_cell_angle_gamma 90.00
_space_group_name_H-M_alt 'P 4/m m m'
_space_group_IT_number 123
_space_group_name_Hall '-P 4 2'
loop_
_atom_site_label
_atom_site_fract_x
_atom_site_fract_y
_atom_site_fract_z
Er1 0.000 0.000 0.198
Tm1 0.500 0.500 0.500
Pt1 0.500 0.500 0.000
```

## Properties
excess energy over the best structure of this formula in the dataset: 139 meV/atom
M_tot: 0.00 μB/f.u.
crystal system: tetragonal
calculated formation energy: -603 meV/atom


Among the records above, which one has the highest M_tot? MnSnBRu2


The highest M_tot belongs to which entry? MnSnBRu2